# 1
## Al3Ag4 (SCAN)

Data for a PBEsol-optimized structure of Al3Ag4.

Cell lengths 6.1600, 6.1600, 7.1542 Å; angles 112.87, 112.87, 26.93 degrees
Fractional positions:
Al  0.0000  0.0000  0.0000
Al  0.4218  0.4218  0.2845
Al  0.5782  0.5782  0.7155
Ag  0.1330  0.1330  0.4265
Ag  0.2901  0.2901  0.8605
Ag  0.7099  0.7099  0.1395
Ag  0.8670  0.8670  0.5735

Results
ΔE to the lowest computed polymorph = 0 meV per atom
calculated formation energy = -0.102 eV per atom

---

# 2
## Sb3RhC (SCAN)

Data for a PBEsol-optimized structure of Sb3RhC.

Cell lengths 5.0041, 5.0041, 5.0041 Å; angles 90.00, 90.00, 90.00 degrees
Fractional positions:
Sb  0.0000  0.0000  0.5000
Sb  0.0000  0.5000  0.0000
Sb  0.5000  0.0000  0.0000
Rh  0.0000  0.0000  0.0000
C  0.5000  0.5000  0.5000

Results
E_form (uncorrected) = 1593 meV per atom

---

Number 1: calculated density 7.550 Mg/m³. Number 2: calculated density 6.363 Mg/m³.